LiCaNdCu: relaxed, GGA-PBE.

Unit cell a=5.183 b=5.183 c=5.183 alpha=60.00 beta=60.00 gamma=60.00
Atoms (fractional coordinates):
Ca (0.500, 0.500, 0.500)
Nd (0.000, 0.000, 0.000)
Cu (0.750, 0.750, 0.750)
Li (0.250, 0.250, 0.250)

Results
* volume: 98.5 Å³/f.u.
* crystal system: cubic
* SG: F-43m (216)
* density of states at the Fermi level: 2.69 states/eV/cell
* calculated formation energy: -0.003 eV/atom